Record 1
# Tb5CeMg4, relaxed, DFT GGA-PBE
# Magnetization = 1.03 Bohr magnetons per cell
# Fermi-level density of states = 15.7 states/eV/cell
# Total DFT energy (no corrections) = -35.81 eV/f.u.
# E_form = -35 meV per atom
data_Tb5CeMg4
_cell_length_a 3.702
_cell_length_b 3.702
_cell_length_c 20.494
_cell_angle_alpha 90.00
_cell_angle_beta 90.00
_cell_angle_gamma 90.00
_space_group_name_H-M_alt 'P 4/m m m'
_space_group_IT_number 123
_space_group_name_Hall '-P 4 2'
loop_
_atom_site_label
_atom_site_type_symbol
_atom_site_fract_x
_atom_site_fract_y
_atom_site_fract_z
Tb1 Tb 0.000 0.000 0.000
Tb2 Tb 0.000 0.000 0.190
Tb3 Tb 0.000 0.000 0.388
Ce1 Ce 0.500 0.500 0.500
Mg1 Mg 0.500 0.500 0.095
Mg2 Mg 0.500 0.500 0.289

Record 2
# RbTiAs3, relaxed, DFT GGA-PBE
# Magnetization = 0.16 Bohr magnetons per cell
# Fermi-level density of states = 8.8 states/eV/cell
# Total DFT energy (no corrections) = -13.41 eV/f.u.
# Offset from the most stable computed form = 2142.0 meV/atom
# E_form = 1879 meV per atom
data_RbTiAs3
_cell_length_a 5.358
_cell_length_b 5.358
_cell_length_c 5.358
_cell_angle_alpha 90.00
_cell_angle_beta 90.00
_cell_angle_gamma 90.00
_space_group_name_H-M_alt 'P m -3 m'
_space_group_IT_number 221
_space_group_name_Hall '-P 4 2 3'
loop_
_atom_site_label
_atom_site_type_symbol
_atom_site_fract_x
_atom_site_fract_y
_atom_site_fract_z
Rb1 Rb 0.000 0.000 0.000
Ti1 Ti 0.500 0.500 0.500
As1 As 0.000 0.000 0.500

Record 3
# LiTe2Br, relaxed, DFT GGA-PBE
# Magnetization = 0.00 Bohr magnetons per cell
# Fermi-level density of states = 0.5 states/eV/cell
# Total DFT energy (no corrections) = -12.07 eV/f.u.
# Energy relative to the elements, uncorrected = -0.55 eV per atom
# Offset from the most stable computed form = 70.1 meV/atom
data_LiTe2Br
_cell_length_a 4.096
_cell_length_b 5.312
_cell_length_c 14.098
_cell_angle_alpha 90.00
_cell_angle_beta 90.00
_cell_angle_gamma 90.00
_space_group_name_H-M_alt 'I m m 2'
_space_group_IT_number 44
loop_
_space_group_symop_operation_xyz
'x,y,z'
'-x,-y,z'
'-x,y,z'
'x,-y,z'
'x+1/2,y+1/2,z+1/2'
'-x+1/2,-y+1/2,z+1/2'
'-x+1/2,y+1/2,z+1/2'
'x+1/2,-y+1/2,z+1/2'
loop_
_atom_site_label
_atom_site_type_symbol
_atom_site_fract_x
_atom_site_fract_y
_atom_site_fract_z
Li1 Li 0.000 0.000 0.000
Te1 Te 0.000 0.000 0.719
Te2 Te 0.000 0.500 0.078
Br1 Br 0.000 0.500 0.400

Record 4
# HoErTmTh, relaxed, DFT GGA-PBE
# Magnetization = 0.02 Bohr magnetons per cell
# Fermi-level density of states = 31.5 states/eV/cell
# Total DFT energy (no corrections) = -20.50 eV/f.u.
# Offset from the most stable computed form = 129.8 meV/atom
# E_form = 134 meV per atom
data_HoErTmTh
_cell_length_a 7.951
_cell_length_b 7.951
_cell_length_c 7.951
_cell_angle_alpha 90.00
_cell_angle_beta 90.00
_cell_angle_gamma 90.00
_space_group_name_H-M_alt 'F -4 3 m'
_space_group_IT_number 216
_space_group_name_Hall 'F -4 2 3'
loop_
_atom_site_label
_atom_site_type_symbol
_atom_site_fract_x
_atom_site_fract_y
_atom_site_fract_z
Ho1 Ho 0.000 0.000 0.000
Er1 Er 0.250 0.250 0.750
Tm1 Tm 0.250 0.250 0.250
Th1 Th 0.000 0.000 0.500